! CaCoTe2 PBE optimized geometry; values from VASP
! Space-group type = P2/m, No. 10
! Magnetic moment = 1.1 μB/cell
! Raw total energy = -4.292 eV per atom
&SYSTEM
  ibrav = 0, nat = 4, ntyp = 3
/
ATOMIC_SPECIES
Ca 40.08 Ca.upf
Te 127.60 Te.upf
Co 58.93 Co.upf
CELL_PARAMETERS angstrom
-2.6365 1.5056 -2.3848
-2.9730 -0.4603 2.9962
0.2423 5.8420 3.4204
ATOMIC_POSITIONS crystal
Ca 0.5000 0.2500 0.2500
Te 0.0000 0.8252 0.9782
Te 0.0000 0.6748 0.5218
Co 0.5000 0.7500 0.7500